# Er8Te4PAu3 (PBE, optimized geometry)
# calculated total energy	-246.5	eV/cell
# E_form (uncorrected)	-1.12	eV per atom
# D(E_F)	35.02	states/eV per cell
data_Er8Te4PAu3
_cell_length_a 8.3392
_cell_length_b 8.3392
_cell_length_c 21.3984
_cell_angle_alpha 90.00
_cell_angle_beta 90.00
_cell_angle_gamma 120.00
_space_group_name_H-M_alt 'R -3 m'
_space_group_IT_number 166
_space_group_name_Hall '-R 3 2"'
loop_
_atom_site_label
_atom_site_type_symbol
_atom_site_fract_x
_atom_site_fract_y
_atom_site_fract_z
Er1 Er 0.0000 0.0000 0.2410
Er2 Er 0.0070 0.5035 0.2405
Te1 Te 0.0000 0.0000 0.0000
Te2 Te 0.0000 0.5000 0.0000
P1 P 0.0000 0.0000 0.5000
Au1 Au 0.0000 0.5000 0.5000